PBE YNiRu2, optimized geometry; excess energy over the best structure of this formula in the dataset = 1.9 meV per atom; calculated total energy = -7.648 eV per atom; DOS at the Fermi energy = 1.04 states/eV per atom; total magnetic moment = 0.00 μB per atom
1.0
-0.5002 -2.7138 -0.9446
2.5045 -1.3149 2.4515
-4.3192 -0.6234 4.0783
Ru Y Ni
2 1 1
Direct
0.5000 0.5000 0.1977 Ru
0.0000 0.0000 0.0092 Ru
0.0000 0.0000 0.5122 Y
0.5000 0.5000 0.7810 Ni